# Pa2BeInN5

A relaxed Pa2BeInN5 crystal (PBE, Alexandria).

Results
**Total moment**: 0.0 μB per cell
**Uncorrected formation energy**: -0.937 eV/atom

Unit cell a=3.3553 b=6.8685 c=9.8518 alpha=90.00 beta=90.00 gamma=104.14
With the nearest neighbours (Å) after each atom.
Atoms (fractional coordinates):
Pa (0.8769, 0.7538, 0.7922)  5 N 2.25-2.45
Pa (0.1266, 0.2532, 0.6803)  6 N 2.31-2.41
Pa (0.1231, 0.2462, 0.2922)  5 N 2.25-2.45
Pa (0.8734, 0.7468, 0.1803)  6 N 2.31-2.41
Be (0.4883, 0.9767, 0.9875)  4 N 1.78-1.86
Be (0.5117, 0.0233, 0.4875)  4 N 1.78-1.86
In (0.8159, 0.6317, 0.4903)  6 N 2.25-2.40
In (0.1841, 0.3683, 0.9903)  6 N 2.25-2.40
N (0.3561, 0.7123, 0.0201)  1 Be 1.79
N (0.6950, 0.3899, 0.8293)  2 In 2.31, 3 Pa 2.41-2.45
N (0.4894, 0.9788, 0.8067)  1 Be 1.78
N (0.3044, 0.6088, 0.6634)  3 Pa 2.31-2.37, 2 In 2.40
N (0.9783, 0.9567, 0.5541)  2 Be 1.86
N (0.6439, 0.2877, 0.5201)  1 Be 1.79
N (0.3050, 0.6101, 0.3293)  2 In 2.31, 3 Pa 2.41-2.45
N (0.5106, 0.0212, 0.3067)  1 Be 1.78
N (0.6956, 0.3912, 0.1634)  3 Pa 2.31-2.37, 2 In 2.40
N (0.0217, 0.0433, 0.0541)  2 Be 1.86

# La4PuNp3N8

A relaxed La4PuNp3N8 crystal (PBE, Alexandria).

Results
**D(E_F)**: 32.1 states/eV per cell
**Total moment**: 2.3 μB per cell
**Uncorrected formation energy**: -1.220 eV/atom

Unit cell a=7.0959 b=7.1859 c=7.1350 alpha=119.88 beta=119.82 gamma=90.00
With the nearest neighbours (Å) after each atom.
Atoms (fractional coordinates):
La (0.5000, 0.0000, 0.0000)  6 N 2.63-2.65
La (0.5000, 0.0000, 0.5000)  6 N 2.69-2.72
La (0.0000, 0.0000, 0.0000)  6 N 2.68-2.71
La (0.0000, 0.0000, 0.5000)  6 N 2.69-2.72
Pu (0.0000, 0.5000, 0.0000)  6 N 2.43-2.46
Np (0.5000, 0.5000, 0.0000)  6 N 2.35-2.40
Np (0.5000, 0.5000, 0.5000)  6 N 2.35-2.38
Np (0.0000, 0.5000, 0.5000)  6 N 2.35-2.38
N (0.2392, 0.7037, 0.9643)  2 Np 2.35-2.36, 1 Pu 2.43
N (0.2419, 0.7069, 0.4838)  2 Np 2.35, 1 Pu 2.46, 1 La 2.63
N (0.2636, 0.2936, 0.5272)  3 Np 2.38-2.40
N (0.7251, 0.7037, 0.9643)  2 Np 2.35-2.36, 1 Pu 2.43
N (0.2749, 0.2963, 0.0357)  2 Np 2.35-2.36, 1 Pu 2.43
N (0.7364, 0.7064, 0.4728)  3 Np 2.38-2.40
N (0.7581, 0.2931, 0.5162)  2 Np 2.35, 1 Pu 2.46, 1 La 2.63
N (0.7608, 0.2963, 0.0357)  2 Np 2.35-2.36, 1 Pu 2.43

no.,V (Å³/atom)
1,12.231
2,16.153